P:
First-principles (PBE) data for a relaxed structure of Ce2ThAs, as listed in the Alexandria database.

POSCAR file:
```
Ce2ThAs
1.0
1.898 1.096 9.464
-1.898 1.096 9.464
0.000 -2.191 9.464
Ce Th As
2 1 1
direct
0.000 0.000 0.000
0.201 0.201 0.201
0.433 0.433 0.433
0.600 0.600 0.600
```

Results
The value obtained for the spin magnetization is 0.29 μB per atom.

---

Q:
First-principles (PBE) data for a relaxed structure of Ce2ThAs, as listed in the Alexandria database.

POSCAR file:
```
Ce2ThAs
1.0
3.901 0.000 0.000
0.000 3.901 0.000
0.000 0.000 7.040
Ce Th As
2 1 1
direct
0.000 0.000 0.196
0.000 0.000 0.804
0.500 0.500 0.500
0.500 0.500 0.000
```

Results
The value obtained for the spin magnetization is 0.35 μB per atom.

---

R:
First-principles (PBE) data for a relaxed structure of Ce2ThAs, as listed in the Alexandria database.

POSCAR file:
```
Ce2ThAs
1.0
1.881 1.086 9.417
-1.881 1.086 9.417
0.000 -2.173 9.417
Ce Th As
2 1 1
direct
0.234 0.234 0.234
0.766 0.766 0.766
0.000 0.000 0.000
0.500 0.500 0.500
```

Results
The value obtained for the spin magnetization is 0.19 μB per atom.

---

Winner for stability: Q

---

P:
First-principles (PBE) data for a relaxed structure of Ce2TlAs, as listed in the Alexandria database.

POSCAR file:
```
Ce2TlAs
1.0
3.592 0.000 0.000
0.000 3.592 0.000
0.000 0.000 8.159
Ce Tl As
2 1 1
direct
0.000 0.000 0.213
0.000 0.000 0.787
0.500 0.500 0.500
0.500 0.500 0.000
```

Results
The value obtained for the spin magnetization is 0.50 μB per atom.

---

Q:
First-principles (PBE) data for a relaxed structure of Ce2TlAs, as listed in the Alexandria database.

POSCAR file:
```
Ce2TlAs
1.0
2.060 1.189 8.119
-2.060 1.189 8.119
0.000 -2.378 8.119
Ce Tl As
2 1 1
direct
0.238 0.238 0.238
0.762 0.762 0.762
0.000 0.000 0.000
0.500 0.500 0.500
```

Results
The value obtained for the spin magnetization is 0.41 μB per atom.

---

Winner for stability: Q